1.
BeInPO2: optimized geometry, PBE.

Cell lengths 3.5945, 3.5945, 4.9266 Å; angles 90.00, 90.00, 90.00 degrees
Closest atoms and distances in Å follow each position.
Fractional positions:
P1 0.0000 0.0000 0.5000  2 Be 2.46, 4 In 2.54
Be1 0.0000 0.0000 0.0000  4 O 1.80
O1 0.0000 0.5000 0.0000  2 Be 1.80
O2 0.5000 0.0000 0.0000  2 Be 1.80
In1 0.5000 0.5000 0.5000  4 P 2.54

Summary:
* excess energy over the best structure of this formula in the dataset: 0.0000 eV per atom
* symmetry: No. 123
* formation energy (no corrections): -0.3214 eV per atom

=====

2.
PuU2Fe: optimized geometry, PBE.

Cell lengths 4.3547, 4.3547, 4.8437 Å; angles 63.29, 63.29, 60.00 degrees
Closest atoms and distances in Å follow each position.
Fractional positions:
U1 0.7384 0.7384 0.7849  3 Pu 2.67, 4 Fe 2.78-2.96
U2 0.2616 0.2616 0.2151  3 Pu 2.67, 4 Fe 2.78-2.96
Fe1 0.5000 0.5000 0.5000  8 U 2.78-2.96
Pu1 0.0000 0.0000 0.0000  6 U 2.67

Summary:
* excess energy over the best structure of this formula in the dataset: 0.0000 eV per atom
* energy of formation: 0.02 eV/atom
* symmetry: No. 166

=====

3.
HoInGe: optimized geometry, PBE.

Cell lengths 4.6417, 4.3030, 4.3030 Å; angles 120.00, 90.00, 90.00 degrees
Closest atoms and distances in Å follow each position.
Fractional positions:
Ge1 0.3100 0.3333 0.6667  3 In 2.74, 3 Ho 2.89
Ho1 0.6297 0.6667 0.3333  3 Ge 2.89, 3 In 3.19
In1 0.0603 0.0000 0.0000  3 Ge 2.74

Summary:
* energy of formation: -0.42 eV/atom
* symmetry: No. 156

=====

4.
PaBe17W: optimized geometry, PBE.

Cell lengths 5.6764, 5.6764, 5.6764 Å; angles 83.07, 83.07, 83.07 degrees
Closest atoms and distances in Å follow each position.
Fractional positions:
Pa1 0.6587 0.6587 0.6587  19 Be 2.73-2.90
Be1 0.2849 0.0060 0.7094  7 Be 2.10-2.33
Be2 0.7094 0.2849 0.0060  7 Be 2.10-2.33
Be3 0.0060 0.7094 0.2849  7 Be 2.10-2.33
Be4 0.2849 0.7094 0.0060  7 Be 2.10-2.33
Be5 0.0060 0.2849 0.7094  7 Be 2.10-2.33
Be6 0.7094 0.0060 0.2849  7 Be 2.10-2.33
Be7 0.3393 0.8448 0.3393  9 Be 2.16-2.36
Be8 0.3393 0.3393 0.8448  9 Be 2.16-2.36
Be9 0.8448 0.3393 0.3393  9 Be 2.16-2.36
Be10 0.6529 0.1601 0.6529  9 Be 2.18-2.40
Be11 0.6529 0.6529 0.1601  9 Be 2.18-2.40
Be12 0.1601 0.6529 0.6529  9 Be 2.18-2.40
Be13 0.0008 0.5004 0.0008  10 Be 2.12-2.32
Be14 0.0008 0.0008 0.5004  10 Be 2.12-2.32
Be15 0.5004 0.0008 0.0008  10 Be 2.12-2.32
Be16 0.9080 0.9080 0.9080  4 Be 2.13-2.32
Be17 0.1026 0.1026 0.1026  7 Be 2.13-2.29
W1 0.3391 0.3391 0.3391  19 Be 2.59-2.87

Summary:
* energy of formation: -0.04 eV/atom
* symmetry: No. 160

=====

Number 1: energy -4.680 eV per atom. Number 2: energy -11.319 eV per atom. Number 3: energy -4.399 eV per atom. Number 4: energy -4.556 eV per atom.